Record 1
The following is a PBE calculation of a relaxed Li2BeBS4 crystal, from Alexandria via LeMat-Bulk. Values from VASP.

```
&SYSTEM
  ibrav = 0, nat = 8, ntyp = 4
/
ATOMIC_SPECIES
Li 6.94 Li.upf
Be 9.01 Be.upf
B 10.81 B.upf
S 32.06 S.upf
ATOMIC_POSITIONS crystal
Li 0.000 0.000 0.000
Li 0.750 0.250 0.500
Be 0.500 0.500 0.000
B 0.250 0.750 0.500
S 0.186 0.644 0.084
S 0.356 0.441 0.542
S 0.559 0.102 0.916
S 0.898 0.814 0.458
CELL_PARAMETERS angstrom
-2.718 2.718 4.366
2.718 -2.718 4.366
2.718 2.718 -4.366
```

Crystal system: tetragonal
Symmetry: I-4 (82)
Calculated volume, Å³ per cell: 129
Raw formation energy, eV/atom: -0.78
Calculated density, g cm⁻³: 2.1

***

Record 2
The following is a PBE calculation of a relaxed Mg2Be2B crystal, from Alexandria via LeMat-Bulk. Values from VASP.

```
&SYSTEM
  ibrav = 0, nat = 10, ntyp = 3
/
ATOMIC_SPECIES
Mg 24.30 Mg.upf
Be 9.01 Be.upf
B 10.81 B.upf
ATOMIC_POSITIONS crystal
Mg 0.167 0.333 0.000
Mg 0.333 0.833 0.000
Mg 0.667 0.167 0.000
Mg 0.833 0.667 0.000
Be 0.127 0.627 0.500
Be 0.373 0.127 0.500
Be 0.627 0.873 0.500
Be 0.873 0.373 0.500
B 0.000 0.000 0.000
B 0.500 0.500 0.000
CELL_PARAMETERS angstrom
6.140 0.000 0.000
0.000 6.140 0.000
0.000 0.000 3.927
```

Energy relative to the lowest polymorph listed for this composition, meV per atom: 377
Crystal system: tetragonal
Symmetry: P4/mbm (127)
Calculated volume, Å³ per cell: 148
Calculated density, g cm⁻³: 1.7

***

Record 3
The following is a PBE calculation of a relaxed MgBe3B3 crystal, from Alexandria via LeMat-Bulk. Values from VASP.

```
&SYSTEM
  ibrav = 0, nat = 14, ntyp = 3
/
ATOMIC_SPECIES
Mg 24.30 Mg.upf
Be 9.01 Be.upf
B 10.81 B.upf
ATOMIC_POSITIONS crystal
Mg 0.000 0.000 0.000
Mg 0.500 0.500 0.500
Be 0.000 0.250 0.500
Be 0.000 0.750 0.500
Be 0.250 0.500 0.000
Be 0.500 0.000 0.250
Be 0.500 0.000 0.750
Be 0.750 0.500 0.000
B 0.000 0.500 0.250
B 0.000 0.500 0.750
B 0.250 0.000 0.500
B 0.500 0.250 0.000
B 0.500 0.750 0.000
B 0.750 0.000 0.500
CELL_PARAMETERS angstrom
5.346 0.000 0.000
0.000 5.346 0.000
0.000 0.000 5.346
```

Crystal system: cubic
Symmetry: Pm-3n (223)
Electronic total energy, eV per atom: -3.76
Calculated volume, Å³ per cell: 153
Calculated density, g cm⁻³: 1.8

***

Record 4
The following is a PBE calculation of a relaxed Mg2Be2B crystal, from Alexandria via LeMat-Bulk. Values from VASP.

```
&SYSTEM
  ibrav = 0, nat = 5, ntyp = 3
/
ATOMIC_SPECIES
Mg 24.30 Mg.upf
Be 9.01 Be.upf
B 10.81 B.upf
ATOMIC_POSITIONS crystal
Mg 0.093 0.093 0.000
Mg 0.907 0.907 0.000
Be 0.250 0.750 0.500
Be 0.750 0.250 0.500
B 0.500 0.500 0.000
CELL_PARAMETERS angstrom
-1.445 1.445 7.791
1.445 -1.445 7.791
1.445 1.445 -7.791
```

Energy relative to the lowest polymorph listed for this composition, meV per atom: 0
Crystal system: tetragonal
Symmetry: I4/mmm (139)
Calculated volume, Å³ per cell: 65
Calculated density, g cm⁻³: 2.0

***

Record 5
The following is a PBE calculation of a relaxed MgBe2B4 crystal, from Alexandria via LeMat-Bulk. Values from VASP.

```
&SYSTEM
  ibrav = 0, nat = 7, ntyp = 3
/
ATOMIC_SPECIES
Mg 24.30 Mg.upf
Be 9.01 Be.upf
B 10.81 B.upf
ATOMIC_POSITIONS crystal
Mg 0.000 0.000 0.000
Be 0.333 0.667 0.594
Be 0.667 0.333 0.406
B 0.333 0.667 0.224
B 0.333 0.667 0.803
B 0.667 0.333 0.197
B 0.667 0.333 0.776
CELL_PARAMETERS angstrom
2.962 0.000 0.000
-1.481 2.565 0.000
0.000 0.000 8.620
```

Crystal system: trigonal
Symmetry: P-3m1 (164)
Electronic total energy, eV per atom: -4.91
Calculated volume, Å³ per cell: 65
Calculated density, g cm⁻³: 2.2

***

Record 6
The following is a PBE calculation of a relaxed MgBe3B12 crystal, from Alexandria via LeMat-Bulk. Values from VASP.

```
&SYSTEM
  ibrav = 0, nat = 32, ntyp = 3
/
ATOMIC_SPECIES
Mg 24.30 Mg.upf
Be 9.01 Be.upf
B 10.81 B.upf
ATOMIC_POSITIONS crystal
Mg 0.000 0.000 0.000
Mg 0.500 0.500 0.500
Be 0.023 0.697 0.211
Be 0.197 0.523 0.711
Be 0.211 0.023 0.697
Be 0.523 0.711 0.197
Be 0.697 0.211 0.023
Be 0.711 0.197 0.523
B 0.068 0.193 0.427
B 0.068 0.440 0.197
B 0.193 0.427 0.068
B 0.197 0.068 0.440
B 0.246 0.842 0.831
B 0.314 0.317 0.974
B 0.317 0.974 0.314
B 0.331 0.342 0.746
B 0.342 0.746 0.331
B 0.427 0.068 0.193
B 0.440 0.197 0.068
B 0.474 0.817 0.814
B 0.568 0.697 0.940
B 0.568 0.927 0.693
B 0.693 0.568 0.927
B 0.697 0.940 0.568
B 0.746 0.331 0.342
B 0.814 0.474 0.817
B 0.817 0.814 0.474
B 0.831 0.246 0.842
B 0.842 0.831 0.246
B 0.927 0.693 0.568
B 0.940 0.568 0.697
B 0.974 0.314 0.317
CELL_PARAMETERS angstrom
6.348 3.665 1.915
-6.348 3.665 1.915
0.000 -7.330 1.915
```

Crystal system: trigonal
Symmetry: R3c (161)
Electronic total energy, eV per atom: -5.54
Calculated volume, Å³ per cell: 267
Calculated density, g cm⁻³: 2.2